Entry 1:
The following is a PBE calculation of a relaxed structure of Sm2YThP4, from the Alexandria database.

```
Sm2YThP4
1.0
-3.9848 0.0945 -0.9624
-1.3943 -4.4389 5.3372
-0.4032 6.6930 2.3266
Sm Y Th P
2 1 1 4
Direct
0.5000 0.0000 0.5000
0.0000 0.5000 0.5000
0.0000 0.0000 0.0000
0.5000 0.5000 0.0000
0.5000 0.2468 0.2458
0.5000 0.7532 0.7542
0.0000 0.2482 0.7519
0.0000 0.7518 0.2481
```

Properties
Uncorrected energy: -57.79 eV/cell
Total magnetization: 0.00 μB per formula unit
Crystal system: monoclinic
V: 24.3 A^3/atom
Calculated formation energy: -12.83 eV per formula unit

***

Entry 2:
The following is a PBE calculation of a relaxed structure of Sm4YTh3P8, from the Alexandria database.

```
Sm4YTh3P8
1.0
8.2274 0.0000 0.0000
0.0000 8.2212 -0.0097
-4.1137 -4.1100 5.8203
Sm Y Th P
4 1 3 8
Direct
0.5000 0.0000 0.0000
0.5000 0.0000 0.5000
0.0000 0.0000 0.0000
0.0000 0.0000 0.5000
0.0000 0.5000 0.0000
0.5000 0.5000 0.0000
0.5000 0.5000 0.5000
0.0000 0.5000 0.5000
0.2481 0.7476 0.9995
0.2481 0.7476 0.4963
0.2499 0.2496 0.4997
0.7514 0.7476 0.9995
0.2486 0.2524 0.0005
0.7501 0.7504 0.5003
0.7519 0.2524 0.5037
0.7519 0.2524 0.0005
```

Properties
Uncorrected energy: -116.34 eV/cell
Total magnetization: 0.00 μB per formula unit
Crystal system: trigonal
V: 24.6 A^3/atom
Calculated formation energy: -25.46 eV per formula unit